Record 1
# Sm2TlSb

Sm2TlSb after structural relaxation (PBE-GGA, the Alexandria database).

Cell and atoms, written as CIF:
```
data_Sm2TlSb
_space_group_name_H-M_alt 'R 3 m'
_space_group_IT_number 160
_space_group_name_Hall 'R 3 -2"'
_cell_length_a 4.2291
_cell_length_b 4.2291
_cell_length_c 25.1582
_cell_angle_alpha 90.00
_cell_angle_beta 90.00
_cell_angle_gamma 120.00
loop_
_atom_site_label
_atom_site_fract_x
_atom_site_fract_y
_atom_site_fract_z
_atom_site_occupancy
Sm1 0.0000 0.0000 0.0000 1
Sm2 0.0000 0.0000 0.1825 1
Tl1 0.0000 0.0000 0.4243 1
Sb1 0.0000 0.0000 0.5924 1
```

Calculated values
V: 389.7 Å³/cell
Distance to the lowest polymorph of the same formula: 0.141 eV per atom
Calculated total energy: -18.383 eV/f.u.

Record 2
# Sm3TmSb2

Sm3TmSb2 after structural relaxation (PBE-GGA, the Alexandria database).

Cell and atoms, written as CIF:
```
data_Sm3TmSb2
_space_group_name_H-M_alt 'P -4 m 2'
_space_group_IT_number 115
_cell_length_a 4.5220
_cell_length_b 4.5220
_cell_length_c 8.6590
_cell_angle_alpha 90.00
_cell_angle_beta 90.00
_cell_angle_gamma 90.00
loop_
_space_group_symop_operation_xyz
'x,y,z'
'y,-x,-z'
'-x,-y,z'
'-y,x,-z'
'-x,y,z'
'-y,-x,-z'
'x,-y,z'
'y,x,-z'
loop_
_atom_site_label
_atom_site_fract_x
_atom_site_fract_y
_atom_site_fract_z
_atom_site_occupancy
Sm1 0.0000 0.0000 0.0000 1
Sm2 0.0000 0.5000 0.6474 1
Tm1 0.5000 0.5000 0.0000 1
Sb1 0.0000 0.5000 0.2768 1
```

Calculated values
V: 177.1 Å³/cell
Distance to the lowest polymorph of the same formula: 0.000 eV per atom
Calculated total energy: -31.788 eV/f.u.

Record 3
# Sm4TmSb4

Sm4TmSb4 after structural relaxation (PBE-GGA, the Alexandria database).

Cell and atoms, written as CIF:
```
data_Sm4TmSb4
_space_group_name_H-M_alt 'I -4 2 m'
_space_group_IT_number 121
_space_group_name_Hall 'I -4 2'
_cell_length_a 7.9824
_cell_length_b 7.9824
_cell_length_c 9.9145
_cell_angle_alpha 90.00
_cell_angle_beta 90.00
_cell_angle_gamma 90.00
loop_
_atom_site_label
_atom_site_fract_x
_atom_site_fract_y
_atom_site_fract_z
_atom_site_occupancy
Sm1 0.0000 0.0000 0.1708 1
Sm2 0.0000 0.5000 0.0000 1
Tm1 0.0000 0.0000 0.5000 1
Sb1 0.2328 0.2328 0.6412 1
```

Calculated values
V: 631.7 Å³/cell
Calculated total energy: -45.425 eV/f.u.

Record 4
# SmTm5Sb6

SmTm5Sb6 after structural relaxation (PBE-GGA, the Alexandria database).

Cell and atoms, written as CIF:
```
data_SmTm5Sb6
_space_group_name_H-M_alt 'C 1 2/m 1'
_space_group_IT_number 12
_cell_length_a 7.5540
_cell_length_b 13.0836
_cell_length_c 7.5525
_cell_angle_alpha 90.00
_cell_angle_beta 109.49
_cell_angle_gamma 90.00
loop_
_space_group_symop_operation_xyz
'x,y,z'
'-x,-y,-z'
'-x,y,-z'
'x,-y,z'
'x+1/2,y+1/2,z'
'-x+1/2,-y+1/2,-z'
'-x+1/2,y+1/2,-z'
'x+1/2,-y+1/2,z'
loop_
_atom_site_label
_atom_site_fract_x
_atom_site_fract_y
_atom_site_fract_z
_atom_site_occupancy
Sm1 0.0000 0.0000 0.0000 1
Tm1 0.0000 0.1642 0.5000 1
Tm2 0.0000 0.3325 0.0000 1
Tm3 0.0000 0.5000 0.5000 1
Sb1 0.2450 0.5000 0.2514 1
Sb2 0.2460 0.3308 0.7461 1
```

Calculated values
V: 703.7 Å³/cell
Calculated total energy: -64.802 eV/f.u.

Record 5
# Sm2Tm5Sb4

Sm2Tm5Sb4 after structural relaxation (PBE-GGA, the Alexandria database).

Cell and atoms, written as CIF:
```
data_Sm2Tm5Sb4
_space_group_name_H-M_alt 'C 1 2/m 1'
_space_group_IT_number 12
_cell_length_a 24.6536
_cell_length_b 4.2032
_cell_length_c 7.0290
_cell_angle_alpha 90.00
_cell_angle_beta 97.76
_cell_angle_gamma 90.00
loop_
_space_group_symop_operation_xyz
'x,y,z'
'-x,-y,-z'
'-x,y,-z'
'x,-y,z'
'x+1/2,y+1/2,z'
'-x+1/2,-y+1/2,-z'
'-x+1/2,y+1/2,-z'
'x+1/2,-y+1/2,z'
loop_
_atom_site_label
_atom_site_fract_x
_atom_site_fract_y
_atom_site_fract_z
_atom_site_occupancy
Sm1 0.2319 0.0000 0.2321 1
Tm1 0.0000 0.5000 0.5000 1
Tm2 0.0857 0.0000 0.2046 1
Tm3 0.1508 0.0000 0.7490 1
Sb1 0.0351 0.0000 0.7942 1
Sb2 0.1568 0.5000 0.4384 1
```

Calculated values
V: 721.7 Å³/cell
Calculated total energy: -53.461 eV/f.u.

Record 6
# SmTm2Sb

SmTm2Sb after structural relaxation (PBE-GGA, the Alexandria database).

Cell and atoms, written as CIF:
```
data_SmTm2Sb
_space_group_name_H-M_alt 'R 3 m'
_space_group_IT_number 160
_space_group_name_Hall 'R 3 -2"'
_cell_length_a 3.9742
_cell_length_b 3.9742
_cell_length_c 28.4117
_cell_angle_alpha 90.00
_cell_angle_beta 90.00
_cell_angle_gamma 120.00
loop_
_atom_site_label
_atom_site_fract_x
_atom_site_fract_y
_atom_site_fract_z
_atom_site_occupancy
Sm1 0.0000 0.0000 0.0000 1
Tm1 0.0000 0.0000 0.5665 1
Tm2 0.0000 0.0000 0.7653 1
Sb1 0.0000 0.0000 0.1654 1
```

Calculated values
V: 388.6 Å³/cell
Distance to the lowest polymorph of the same formula: 0.287 eV per atom
Calculated total energy: -18.993 eV/f.u.

Record 7
# SmTm2Sb3

SmTm2Sb3 after structural relaxation (PBE-GGA, the Alexandria database).

Cell and atoms, written as CIF:
```
data_SmTm2Sb3
_space_group_name_H-M_alt 'I m m m'
_space_group_IT_number 71
_space_group_name_Hall '-I 2 2'
_cell_length_a 4.3827
_cell_length_b 6.2020
_cell_length_c 13.1448
_cell_angle_alpha 90.00
_cell_angle_beta 90.00
_cell_angle_gamma 90.00
loop_
_atom_site_label
_atom_site_fract_x
_atom_site_fract_y
_atom_site_fract_z
_atom_site_occupancy
Sm1 0.0000 0.0000 0.0000 1
Tm1 0.0000 0.0000 0.3349 1
Sb1 0.0000 0.5000 0.0000 1
Sb2 0.0000 0.5000 0.3284 1
```

Calculated values
V: 357.3 Å³/cell
Calculated total energy: -32.616 eV/f.u.

Record 8
# Sm4TmSb2

Sm4TmSb2 after structural relaxation (PBE-GGA, the Alexandria database).

Cell and atoms, written as CIF:
```
data_Sm4TmSb2
_space_group_name_H-M_alt 'I 4/m m m'
_space_group_IT_number 139
_space_group_name_Hall '-I 4 2'
_cell_length_a 5.3309
_cell_length_b 5.3309
_cell_length_c 16.7849
_cell_angle_alpha 90.00
_cell_angle_beta 90.00
_cell_angle_gamma 90.00
loop_
_atom_site_label
_atom_site_fract_x
_atom_site_fract_y
_atom_site_fract_z
_atom_site_occupancy
Sm1 0.0000 0.0000 0.1835 1
Sm2 0.0000 0.5000 0.0000 1
Tm1 0.0000 0.0000 0.0000 1
Sb1 0.0000 0.0000 0.3669 1
```

Calculated values
V: 477.0 Å³/cell
Calculated total energy: -30.723 eV/f.u.

- Among the records above, which one has the lowest V?
  Sm3TmSb2